The following is a PBE calculation of crystalline Sm5Dy6Ho2 at its relaxed geometry, from Alexandria via LeMat-Bulk.

```
Sm5Dy6Ho2
1.0
3.583 0.000 0.000
0.000 11.637 0.000
0.000 0.000 20.448
Sm Dy Ho
10 12 4
Cartesian
1.792 3.509 9.188 Sm
1.792 8.128 11.261 Sm
1.792 9.327 1.037 Sm
1.792 2.310 19.412 Sm
1.792 6.820 5.578 Sm
1.792 4.816 14.870 Sm
1.792 1.002 4.646 Sm
1.792 10.635 15.802 Sm
1.792 5.818 0.000 Sm
1.792 0.000 10.224 Sm
0.000 0.952 7.538 Dy
0.000 10.684 12.911 Dy
0.000 6.771 2.686 Dy
0.000 4.866 17.762 Dy
1.792 3.796 2.820 Dy
1.792 7.840 17.628 Dy
1.792 9.614 7.404 Dy
1.792 2.022 13.044 Dy
0.000 6.524 8.563 Dy
0.000 5.112 11.885 Dy
0.000 0.706 1.661 Dy
0.000 10.930 18.787 Dy
0.000 3.843 5.931 Ho
0.000 7.794 14.517 Ho
0.000 9.661 4.293 Ho
0.000 1.976 16.155 Ho
```

symmetry	Pbam
E	-4.55	eV per atom
ρ	8.0	g/cm³


The following is a PBE calculation of crystalline Sm10Dy6Ho at its relaxed geometry, from Alexandria via LeMat-Bulk.

```
Sm10Dy6Ho
1.0
-1.234 5.450 3.992
-6.961 -4.996 4.668
9.204 -0.280 3.228
Sm Dy Ho
10 6 1
Cartesian
0.624 0.604 8.985 Sm
1.513 4.360 4.132 Sm
-2.909 3.069 4.526 Sm
0.384 -0.429 2.903 Sm
6.456 0.811 3.088 Sm
-5.286 -2.615 4.134 Sm
3.198 0.873 5.704 Sm
-2.190 -0.699 6.184 Sm
-1.573 -3.424 4.188 Sm
3.815 -1.852 3.708 Sm
-0.021 1.820 5.729 Dy
4.904 3.617 4.799 Dy
-5.218 0.664 5.701 Dy
1.029 -1.646 6.159 Dy
3.065 1.553 2.421 Dy
-2.978 -0.210 2.959 Dy
-0.617 2.725 1.996 Ho
```

symmetry	P-31m
E	-4.54	eV per atom
ρ	7.8	g/cm³


The following is a PBE calculation of crystalline SmDy5Ho8 at its relaxed geometry, from Alexandria via LeMat-Bulk.

```
SmDy5Ho8
1.0
8.012 0.000 -2.505
-4.115 6.698 -2.943
0.219 0.000 8.391
Sm Dy Ho
1 5 8
Cartesian
0.110 3.349 4.196 Sm
-0.998 2.158 0.096 Dy
3.256 6.040 -3.253 Dy
3.883 4.540 1.968 Dy
4.115 0.000 2.943 Dy
2.090 0.658 7.075 Dy
-1.705 4.949 -1.919 Ho
7.169 0.570 2.976 Ho
4.837 1.691 0.210 Ho
3.947 2.643 4.901 Ho
1.799 4.055 -0.792 Ho
1.018 6.129 2.879 Ho
1.748 1.749 1.950 Ho
-2.352 5.007 1.567 Ho
```

symmetry	I-4
E	-4.35	eV per atom
ρ	8.3	g/cm³


The following is a PBE calculation of crystalline SmDy4Ho5 at its relaxed geometry, from Alexandria via LeMat-Bulk.

```
SmDy4Ho5
1.0
-0.897 5.088 3.530
-2.705 -1.613 7.184
6.304 2.047 4.196
Sm Dy Ho
1 4 5
Cartesian
-0.199 1.130 0.784 Sm
2.980 2.847 7.217 Dy
1.187 4.178 10.389 Dy
1.600 0.860 4.185 Dy
-0.193 2.191 7.357 Dy
4.014 5.350 9.389 Ho
1.284 0.726 9.814 Ho
1.508 4.285 4.742 Ho
-1.222 -0.339 5.167 Ho
-0.609 3.459 2.400 Ho
```

symmetry	I4
E	-4.30	eV per atom
ρ	8.3	g/cm³